Compound: CoPdI2O
Source: Alexandria via LeMat-Bulk
Functional: PBE+U
Structure: optimized geometry

Relative energy among the computed polymorphs: 0 meV per atom
Density: 6.59 Mg/m³
Crystal system: tetragonal
Symmetry: P4/mmm, No. 123
Energy: -3.6078 eV per atom
Spin magnetization: 3.7 μB/cell
V: 109.65 Å³/f.u.
DOS(E_F): 0.98 states/eV/atom

a = 5.580 Å, b = 5.580 Å, c = 3.521 Å
α = 90.00°, β = 90.00°, γ = 90.00°
Last column: magnetic moment on the atom in μB.
Fractional positions:
Co (0.000, 0.000, 0.000)  2.48
Pd (0.500, 0.500, 0.500)  0.21
I (0.000, 0.500, 0.000)  0.16
I (0.500, 0.000, 0.000)  0.16
O (0.000, 0.000, 0.500)  0.44